# HgAs2Au2 (PBE, optimized geometry)
# E_form (kcal/mol of atoms): 5.83
# Fermi-level density of states (states/eV/f.u.): 2.4
data_HgAs2Au2
_chemical_formula_sum 'Hg2 As4 Au4'
_cell_length_a 7.939
_cell_length_b 7.939
_cell_length_c 3.342
_cell_angle_alpha 90.00
_cell_angle_beta 90.00
_cell_angle_gamma 90.00
_symmetry_space_group_name_H-M 'P 4/m b m'
_symmetry_Int_Tables_number 127
_symmetry_space_group_name_Hall '-P 4 2ab'
loop_
_atom_site_label
_atom_site_type_symbol
_atom_site_fract_x
_atom_site_fract_y
_atom_site_fract_z
Hg1 Hg 0.000 0.000 0.000
As1 As 0.190 0.310 0.000
Au1 Au 0.125 0.625 0.500